w | A plane-wave DFT calculation with PBE was carried out for a relaxed structure of YSb2Au2.

Unit cell a=8.055 b=8.055 c=3.678 alpha=90.00 beta=90.00 gamma=90.00
Fractional coordinates of all 10 atoms:
1 Y 0.000 0.000 0.000
2 Y 0.500 0.500 0.000
3 Sb 0.148 0.352 0.000
4 Sb 0.352 0.852 0.000
5 Sb 0.648 0.148 0.000
6 Sb 0.852 0.648 0.000
7 Au 0.154 0.654 0.500
8 Au 0.346 0.154 0.500
9 Au 0.654 0.846 0.500
10 Au 0.846 0.346 0.500

x | A plane-wave DFT calculation with PBE was carried out for a relaxed structure of YSb2Au2.

Unit cell a=7.758 b=7.758 c=3.950 alpha=90.00 beta=90.00 gamma=90.00
Fractional coordinates of all 10 atoms:
1 Y 0.000 0.000 0.000
2 Y 0.500 0.500 0.000
3 Sb 0.185 0.315 0.500
4 Sb 0.315 0.815 0.500
5 Sb 0.685 0.185 0.500
6 Sb 0.815 0.685 0.500
7 Au 0.124 0.624 0.000
8 Au 0.376 0.124 0.000
9 Au 0.624 0.876 0.000
10 Au 0.876 0.376 0.000

Which structure is the most stable? The one labeled x.

w | A plane-wave DFT calculation with PBE was carried out for a relaxed structure of ZnSbAu3.

Unit cell a=4.840 b=4.840 c=4.840 alpha=90.00 beta=90.00 gamma=90.00
Fractional coordinates of all 5 atoms:
1 Zn 0.000 0.000 0.000
2 Sb 0.500 0.500 0.500
3 Au 0.000 0.000 0.500
4 Au 0.000 0.500 0.000
5 Au 0.500 0.000 0.000

x | A plane-wave DFT calculation with PBE was carried out for a relaxed structure of ZnSbAu3.

Unit cell a=8.161 b=10.325 c=4.748 alpha=90.00 beta=90.00 gamma=90.00
Fractional coordinates of all 20 atoms:
1 Zn 0.000 0.000 0.000
2 Zn 0.000 0.500 0.000
3 Zn 0.500 0.000 0.500
4 Zn 0.500 0.500 0.500
5 Sb 0.238 0.250 0.132
6 Sb 0.262 0.750 0.632
7 Sb 0.738 0.250 0.368
8 Sb 0.762 0.750 0.868
9 Au 0.028 0.750 0.215
10 Au 0.168 0.047 0.508
11 Au 0.168 0.453 0.508
12 Au 0.332 0.547 0.008
13 Au 0.332 0.953 0.008
14 Au 0.472 0.250 0.715
15 Au 0.528 0.750 0.285
16 Au 0.668 0.047 0.992
17 Au 0.668 0.453 0.992
18 Au 0.832 0.547 0.492
19 Au 0.832 0.953 0.492
20 Au 0.972 0.250 0.785

Which structure is the most stable? The one labeled x.